(1)
The following is a PBE-GGA calculation of an optimized crystal structure of Na2AlH4ClO4, from the Alexandria database.

Properties
For the spin magnetization, the calculation gives 0.0 μB per formula unit. The calculated volume is 12.29 A^3/atom. As for the crystal system: tetragonal. Its energy is -5.15 eV/atom. For the density of states at the Fermi level, the calculation gives 0.0 states/eV/f.u.

Lattice parameters (Å, degrees): 7.6526 7.6526 5.0369 90.00 90.00 90.00
Last column: nearest neighbours and their distance in Å.
Element x y z (fractional)
Na 0.2500 0.2500 0.5000  4 O 2.44
Na 0.7500 0.7500 0.5000  4 O 2.44
Na 0.2500 0.7500 0.5000  4 O 2.44
Na 0.7500 0.2500 0.5000  4 O 2.44
Al 0.5000 0.5000 0.0000  4 O 1.78
Al 0.0000 0.0000 0.0000  4 O 1.78
H 0.2097 0.5000 0.1037  1 O 0.98
H 0.7903 0.5000 0.1037  1 O 0.98
H 0.7097 0.0000 0.8963  1 O 0.98
H 0.2903 0.0000 0.8963  1 O 0.98
H 0.5000 0.7903 0.8963  1 O 0.98
H 0.5000 0.2097 0.8963  1 O 0.98
H 0.0000 0.2903 0.1037  1 O 0.98
H 0.0000 0.7097 0.1037  1 O 0.98
Cl 0.0000 0.5000 0.7798  4 H 2.29
Cl 0.5000 0.0000 0.2202  4 H 2.29
O 0.3149 0.5000 0.2152  1 H 0.98
O 0.6851 0.5000 0.2152  1 H 0.98
O 0.8149 0.0000 0.7848  1 H 0.98
O 0.1851 0.0000 0.7848  1 H 0.98
O 0.5000 0.6851 0.7848  1 H 0.98
O 0.5000 0.3149 0.7848  1 H 0.98
O 0.0000 0.1851 0.2152  1 H 0.98
O 0.0000 0.8149 0.2152  1 H 0.98

---

(2)
The following is a PBE-GGA calculation of an optimized crystal structure of Tl3BrCl, from the Alexandria database.

Properties
For the spin magnetization, the calculation gives 0.0 μB per formula unit. The calculated volume is 42.15 A^3/atom. As for the crystal system: cubic. For the density of states at the Fermi level, the calculation gives 2.8 states/eV/f.u. The formation energy without anion corrections is -405 meV/atom. The energy above the lowest structure with this stoichiometry is 0 meV/atom.

Lattice parameters (Å, degrees): 5.9508 5.9508 5.9508 90.00 90.00 90.00
Last column: nearest neighbours and their distance in Å.
Element x y z (fractional)
Tl 0.0000 0.5000 0.0000  2 Cl 2.98
Tl 0.0000 0.0000 0.5000  2 Cl 2.98
Tl 0.5000 0.0000 0.0000  2 Cl 2.98
Br 0.5000 0.5000 0.5000  12 Tl 4.21
Cl 0.0000 0.0000 0.0000  6 Tl 2.98

---

(3)
The following is a PBE-GGA calculation of an optimized crystal structure of TbSm6Ho3, from the Alexandria database.

Properties
For the spin magnetization, the calculation gives 0.0 μB per formula unit. The calculated volume is 33.14 A^3/atom. As for the crystal system: orthorhombic. For the density of states at the Fermi level, the calculation gives 13.7 states/eV/f.u. The formation energy is 0.147 eV/atom. The energy above the lowest structure with this stoichiometry is 20 meV/atom.

Lattice parameters (Å, degrees): 6.2692 11.0680 11.0680 120.35 90.00 90.00
Last column: nearest neighbours and their distance in Å.
Element x y z (fractional)
Tb 0.1218 0.1995 0.8005  3 Ho 3.29-3.60, 7 Sm 3.32-3.62
Tb 0.6218 0.8005 0.1995  3 Ho 3.29-3.60, 7 Sm 3.32-3.62
Sm 0.0439 0.7100 0.6243  4 Ho 3.46-3.72, 5 Sm 3.48-3.77
Sm 0.5439 0.6243 0.7100  4 Ho 3.46-3.72, 5 Sm 3.48-3.77
Sm 0.3643 0.5269 0.9463  5 Sm 3.15-3.51, 1 Ho 3.29, 2 Tb 3.32-3.48
Sm 0.8643 0.9463 0.5269  5 Sm 3.15-3.51, 1 Ho 3.29, 2 Tb 3.32-3.48
Sm 0.3998 0.9596 0.0404  1 Tb 3.36, 2 Sm 3.50, 4 Ho 3.51-3.60
Sm 0.6447 0.2790 0.7210  4 Sm 3.15-3.48, 1 Tb 3.36, 1 Ho 3.40
Sm 0.1447 0.7210 0.2790  4 Sm 3.15-3.48, 1 Tb 3.36, 1 Ho 3.40
Sm 0.8998 0.0404 0.9596  1 Tb 3.36, 2 Sm 3.50, 4 Ho 3.51-3.60
Sm 0.3643 0.0537 0.4731  5 Sm 3.15-3.51, 1 Ho 3.29, 2 Tb 3.32-3.48
Sm 0.8643 0.4731 0.0537  5 Sm 3.15-3.51, 1 Ho 3.29, 2 Tb 3.32-3.48
Sm 0.0439 0.3757 0.2900  4 Ho 3.46-3.72, 5 Sm 3.48-3.77
Sm 0.5439 0.2900 0.3757  4 Ho 3.46-3.72, 5 Sm 3.48-3.77
Ho 0.4628 0.9435 0.7175  1 Tb 3.29, 6 Sm 3.29-3.60
Ho 0.9628 0.7175 0.9435  1 Tb 3.29, 6 Sm 3.29-3.60
Ho 0.0770 0.3861 0.6139  7 Sm 3.40-3.72, 1 Tb 3.60, 2 Ho 3.71
Ho 0.5770 0.6139 0.3861  7 Sm 3.40-3.72, 1 Tb 3.60, 2 Ho 3.71
Ho 0.9628 0.0565 0.2825  1 Tb 3.29, 6 Sm 3.29-3.60
Ho 0.4628 0.2825 0.0565  1 Tb 3.29, 6 Sm 3.29-3.60

---

(4)
The following is a PBE-GGA calculation of an optimized crystal structure of Fe2AgTe, from the Alexandria database.

Properties
For the spin magnetization, the calculation gives 5.6 μB per formula unit. The calculated volume is 16.57 A^3/atom. As for the crystal system: tetragonal. For the density of states at the Fermi level, the calculation gives 4.7 states/eV/f.u. The formation energy without anion corrections is 440 meV/atom.

Lattice parameters (Å, degrees): 4.1070 4.1054 3.9319 90.00 90.00 90.00
Last column: nearest neighbours and their distance in Å.
Element x y z (fractional)
Ag 0.0000 0.5000 0.5000  8 Fe 2.84, 4 Te 2.90
Fe 0.0000 0.0000 0.0000  4 Ag 2.84, 4 Te 2.84, 4 Fe 2.90
Fe 0.5000 0.5000 0.0000  4 Te 2.84, 4 Ag 2.84, 4 Fe 2.90
Te 0.5000 0.0000 0.5000  8 Fe 2.84, 4 Ag 2.90

---

(5)
The following is a PBE-GGA calculation of an optimized crystal structure of Nd3Dy8Ho4, from the Alexandria database.

Properties
For the spin magnetization, the calculation gives 0.0 μB per formula unit. The calculated volume is 33.34 A^3/atom. As for the crystal system: monoclinic. For the density of states at the Fermi level, the calculation gives 28.7 states/eV/f.u. The formation energy is 0.392 eV/atom.

Lattice parameters (Å, degrees): 6.7465 9.2658 9.2658 87.23 111.35 111.35
Last column: nearest neighbours and their distance in Å.
Element x y z (fractional)
Nd 0.5000 0.5000 0.0000  4 Dy 3.21-3.35, 2 Ho 3.37
Nd 0.5000 0.0000 0.5000  4 Dy 3.21-3.35, 2 Ho 3.37
Nd 0.5000 0.5000 0.5000  6 Dy 3.17-3.26
Dy 0.5496 0.2706 0.2706  3 Nd 3.21-3.26, 4 Dy 3.23-3.55, 1 Ho 3.47
Dy 0.0000 0.6419 0.3581  7 Dy 3.55-3.76, 4 Nd 3.63-3.83, 2 Ho 3.63
Dy 0.0146 0.2579 0.2579  4 Ho 3.20-3.46, 2 Dy 3.23-3.53, 1 Nd 3.25
Dy 0.5000 0.7476 0.2524  3 Nd 3.17-3.35, 3 Ho 3.23-3.35
Dy 0.5000 0.2524 0.7476  3 Nd 3.17-3.35, 3 Ho 3.23-3.35
Dy 0.9854 0.7421 0.7421  4 Ho 3.20-3.46, 2 Dy 3.23-3.53, 1 Nd 3.25
Dy 0.0000 0.3581 0.6419  7 Dy 3.55-3.76, 4 Nd 3.63-3.83, 2 Ho 3.63
Dy 0.4504 0.7294 0.7294  3 Nd 3.21-3.26, 4 Dy 3.23-3.55, 1 Ho 3.47
Ho 0.5000 0.0000 0.0000  6 Dy 3.23-3.47, 2 Ho 3.37
Ho 0.0000 0.5000 0.0000  4 Dy 3.20-3.35, 2 Nd 3.37
Ho 0.0000 0.0000 0.0000  2 Ho 3.37, 4 Dy 3.41-3.66
Ho 0.0000 0.0000 0.5000  4 Dy 3.20-3.35, 2 Nd 3.37

---

(6)
The following is a PBE-GGA calculation of an optimized crystal structure of YSc5N6, from the Alexandria database.

Properties
For the spin magnetization, the calculation gives 0.0 μB per formula unit. The calculated volume is 12.10 A^3/atom. As for the crystal system: monoclinic. For the density of states at the Fermi level, the calculation gives 0.4 states/eV/f.u. The formation energy without anion corrections is -1843 meV/atom.

Lattice parameters (Å, degrees): 5.6203 5.6249 5.6259 60.01 80.41 70.54
Last column: nearest neighbours and their distance in Å.
Element x y z (fractional)
Y 0.0000 0.0000 0.0000  6 N 2.36
Sc 0.5000 0.1688 0.6625  6 N 2.22-2.32
Sc 0.0000 0.3336 0.3327  6 N 2.29
Sc 0.5000 0.5000 0.0000  6 N 2.23-2.30
Sc 0.0000 0.6664 0.6673  6 N 2.29
Sc 0.5000 0.8312 0.3375  6 N 2.22-2.32
N 0.7450 0.0851 0.3433  5 Sc 2.22-2.30, 1 Y 2.36
N 0.2550 0.5716 0.3433  5 Sc 2.22-2.30, 1 Y 2.36
N 0.2555 0.2583 0.0000  5 Sc 2.23-2.32, 1 Y 2.36
N 0.7445 0.7417 0.0000  5 Sc 2.23-2.32, 1 Y 2.36
N 0.7450 0.4284 0.6567  5 Sc 2.22-2.30, 1 Y 2.36
N 0.2550 0.9149 0.6567  5 Sc 2.22-2.30, 1 Y 2.36

---

(7)
The following is a PBE-GGA calculation of an optimized crystal structure of SbPbW2, from the Alexandria database.

Properties
For the spin magnetization, the calculation gives 0.0 μB per formula unit. The calculated volume is 23.71 A^3/atom. As for the crystal system: trigonal. For the density of states at the Fermi level, the calculation gives 1.1 states/eV/f.u. The formation energy without anion corrections is 463 meV/atom. The energy above the lowest structure with this stoichiometry is 85 meV/atom.

Lattice parameters (Å, degrees): 10.8888 10.8888 10.8888 16.87 16.87 16.87
Last column: nearest neighbours and their distance in Å.
Element x y z (fractional)
Pb 0.5176 0.5176 0.5176  6 Pb 3.19, 3 W 3.21
Sb 0.7274 0.7274 0.7274  3 W 2.96, 6 Sb 3.19
W 0.9889 0.9889 0.9889  3 W 2.58
W 0.2661 0.2661 0.2661  3 W 2.58

---

(8)
The following is a PBE-GGA calculation of an optimized crystal structure of Al2NiOs, from the Alexandria database.

Properties
For the spin magnetization, the calculation gives 0.0 μB per formula unit. The calculated volume is 13.01 A^3/atom. As for the crystal system: cubic. For the density of states at the Fermi level, the calculation gives 1.9 states/eV/f.u. The formation energy is -0.536 eV/atom.

Lattice parameters (Å, degrees): 4.1910 4.1910 4.1910 60.00 60.00 60.00
Last column: nearest neighbours and their distance in Å.
Element x y z (fractional)
Ni 0.2500 0.2500 0.2500  8 Al 2.57
Os 0.7500 0.7500 0.7500  8 Al 2.57
Al 0.5000 0.5000 0.5000  4 Ni 2.57, 4 Os 2.57
Al 0.0000 0.0000 0.0000  4 Ni 2.57, 4 Os 2.57

---

(9)
The following is a PBE-GGA calculation of an optimized crystal structure of CaTe2Ir, from the Alexandria database.

Properties
For the spin magnetization, the calculation gives 0.0 μB per formula unit. The calculated volume is 34.28 A^3/atom. As for the crystal system: tetragonal. For the density of states at the Fermi level, the calculation gives 1.6 states/eV/f.u. The formation energy without anion corrections is -351 meV/atom. The energy above the lowest structure with this stoichiometry is 233 meV/atom.

Lattice parameters (Å, degrees): 6.5250 6.5250 7.9236 65.69 65.69 90.00
Last column: nearest neighbours and their distance in Å.
Element x y z (fractional)
Ca 0.5000 0.5000 0.0000  4 Te 3.09
Ca 0.2500 0.7500 0.5000  4 Te 3.09
Ir 0.0000 0.0000 0.0000  4 Te 2.58
Ir 0.7500 0.2500 0.5000  4 Te 2.58
Te 0.6923 0.1250 0.2500  2 Ir 2.58
Te 0.0577 0.6250 0.2500  2 Ir 2.58
Te 0.3750 0.3077 0.7500  2 Ir 2.58
Te 0.8750 0.9423 0.7500  2 Ir 2.58

---

(10)
The following is a PBE-GGA calculation of an optimized crystal structure of ErTiGe2, from the Alexandria database.

Properties
For the spin magnetization, the calculation gives 0.0 μB per formula unit. The calculated volume is 20.29 A^3/atom. As for the crystal system: trigonal. For the density of states at the Fermi level, the calculation gives 2.0 states/eV/f.u. The formation energy is -0.587 eV/atom.

Lattice parameters (Å, degrees): 4.1684 4.1684 5.9070 69.34 69.34 60.00
Last column: nearest neighbours and their distance in Å.
Element x y z (fractional)
Ge 0.7659 0.7659 0.7024  3 Ti 2.64, 3 Er 2.89
Ge 0.2341 0.2341 0.2976  3 Ti 2.64, 3 Er 2.89
Ti 0.5000 0.5000 0.5000  6 Ge 2.64
Er 0.0000 0.0000 0.0000  6 Ge 2.89

---

(11)
The following is a PBE-GGA calculation of an optimized crystal structure of YZrBe2, from the Alexandria database.

Properties
For the spin magnetization, the calculation gives 0.0 μB per formula unit. The calculated volume is 17.70 A^3/atom. As for the crystal system: cubic. For the density of states at the Fermi level, the calculation gives 3.7 states/eV/f.u. The formation energy is 0.064 eV/atom. The energy above the lowest structure with this stoichiometry is 63 meV/atom.

Lattice parameters (Å, degrees): 4.6431 4.6431 4.6431 60.00 60.00 60.00
Last column: nearest neighbours and their distance in Å.
Element x y z (fractional)
Y 0.0000 0.0000 0.0000  8 Be 2.84
Be 0.2500 0.2500 0.2500  4 Zr 2.84, 4 Y 2.84
Be 0.7500 0.7500 0.7500  4 Zr 2.84, 4 Y 2.84
Zr 0.5000 0.5000 0.5000  8 Be 2.84

---

(12)
The following is a PBE-GGA calculation of an optimized crystal structure of HoErCrCd, from the Alexandria database.

Properties
For the spin magnetization, the calculation gives 3.6 μB per formula unit. The calculated volume is 24.13 A^3/atom. As for the crystal system: cubic. For the density of states at the Fermi level, the calculation gives 2.0 states/eV/f.u. The formation energy is 0.028 eV/atom.

Lattice parameters (Å, degrees): 5.1486 5.1486 5.1486 60.00 60.00 60.00
Last column: nearest neighbours and their distance in Å.
Element x y z (fractional)
Cr 0.7500 0.7500 0.7500  4 Ho 3.15, 4 Er 3.15
Cd 0.2500 0.2500 0.2500  4 Ho 3.15, 4 Er 3.15
Ho 0.5000 0.5000 0.5000  4 Cr 3.15, 4 Cd 3.15
Er 0.0000 0.0000 0.0000  4 Cd 3.15, 4 Cr 3.15

---

Which formula does entry 4 have?
Fe2AgTe

---

Repeat the fourth record exactly.
The following is a PBE-GGA calculation of an optimized crystal structure of Fe2AgTe, from the Alexandria database.

Properties
For the spin magnetization, the calculation gives 5.6 μB per formula unit. The calculated volume is 16.57 A^3/atom. As for the crystal system: tetragonal. For the density of states at the Fermi level, the calculation gives 4.7 states/eV/f.u. The formation energy without anion corrections is 440 meV/atom.

Lattice parameters (Å, degrees): 4.1070 4.1054 3.9319 90.00 90.00 90.00
Last column: nearest neighbours and their distance in Å.
Element x y z (fractional)
Ag 0.0000 0.5000 0.5000  8 Fe 2.84, 4 Te 2.90
Fe 0.0000 0.0000 0.0000  4 Ag 2.84, 4 Te 2.84, 4 Fe 2.90
Fe 0.5000 0.5000 0.0000  4 Te 2.84, 4 Ag 2.84, 4 Fe 2.90
Te 0.5000 0.0000 0.5000  8 Fe 2.84, 4 Ag 2.90